1.
## MoPtCl (PBE-GGA)

Data for a relaxed structure of MoPtCl.

a b c (Å): 6.263 6.263 6.263
angles (deg): 90.00 90.00 90.00
Fractional positions:
Mo1 0.000 0.000 0.000
Mo2 0.000 0.500 0.500
Mo3 0.500 0.000 0.500
Mo4 0.500 0.500 0.000
Pt1 0.250 0.250 0.750
Pt2 0.250 0.750 0.250
Pt3 0.750 0.250 0.250
Pt4 0.750 0.750 0.750
Cl1 0.000 0.000 0.500
Cl2 0.000 0.500 0.000
Cl3 0.500 0.000 0.000
Cl4 0.500 0.500 0.500

Summary:
- volume (A^3/atom) = 20.5
- polymorph energy (0 for the lowest one) (eV/f.u.) = 3.04
- E_tot (eV per atom) = -5.26
- SG = No. 216
- energy relative to the elements, uncorrected (eV/atom) = 0.9753



2.
## MoPt2Cl (PBE-GGA)

Data for a relaxed structure of MoPt2Cl.

a b c (Å): 3.784 3.784 4.685
angles (deg): 90.00 90.00 90.00
Fractional positions:
Mo1 0.000 0.000 0.000
Pt1 0.000 0.500 0.500
Pt2 0.500 0.000 0.500
Cl1 0.500 0.500 0.000

Summary:
- volume (A^3/atom) = 16.8
- polymorph energy (0 for the lowest one) (eV/f.u.) = 2.81
- E_tot (eV per atom) = -5.53
- SG = No. 123
- energy relative to the elements, uncorrected (eV/atom) = 0.6570



3.
## MoPt2Cl (PBE-GGA)

Data for a relaxed structure of MoPt2Cl.

a b c (Å): 2.945 3.538 7.221
angles (deg): 90.00 90.39 90.00
Fractional positions:
Mo1 0.000 0.000 0.000
Pt1 0.006 0.000 0.382
Pt2 0.503 0.500 0.179
Cl1 0.995 0.500 0.752

Summary:
- volume (A^3/atom) = 18.8
- polymorph energy (0 for the lowest one) (eV/f.u.) = 0.19
- E_tot (eV per atom) = -6.19
- SG = No. 6
- energy relative to the elements, uncorrected (eV/atom) = 0.0037



4.
## MoPt2Cl (PBE-GGA)

Data for a relaxed structure of MoPt2Cl.

a b c (Å): 2.862 2.862 8.693
angles (deg): 90.00 90.00 90.00
Fractional positions:
Mo1 0.000 0.000 0.000
Pt1 0.000 0.000 0.437
Pt2 0.500 0.500 0.205
Cl1 0.500 0.500 0.814

Summary:
- volume (A^3/atom) = 17.8
- polymorph energy (0 for the lowest one) (eV/f.u.) = 0.31
- E_tot (eV per atom) = -6.16
- SG = No. 99
- energy relative to the elements, uncorrected (eV/atom) = 0.0314



5.
## MoPtCl (PBE-GGA)

Data for a relaxed structure of MoPtCl.

a b c (Å): 2.940 2.940 6.833
angles (deg): 90.00 90.00 120.00
Fractional positions:
Mo1 0.000 0.000 0.000
Pt1 0.667 0.333 0.311
Cl1 0.333 0.667 0.734

Summary:
- volume (A^3/atom) = 17.0
- polymorph energy (0 for the lowest one) (eV/f.u.) = 0.00
- E_tot (eV per atom) = -6.28
- SG = No. 156
- energy relative to the elements, uncorrected (eV/atom) = -0.0371



6.
## MoPt2Cl (PBE-GGA)

Data for a relaxed structure of MoPt2Cl.

a b c (Å): 2.909 2.909 7.862
angles (deg): 90.00 90.00 90.00
Fractional positions:
Mo1 0.000 0.000 0.000
Pt1 0.500 0.500 0.227
Pt2 0.500 0.500 0.773
Cl1 0.000 0.000 0.500

Summary:
- volume (A^3/atom) = 16.6
- polymorph energy (0 for the lowest one) (eV/f.u.) = 0.24
- E_tot (eV per atom) = -6.18
- SG = No. 123
- energy relative to the elements, uncorrected (eV/atom) = 0.0144



7.
## MoPtCl4 (PBE-GGA)

Data for a relaxed structure of MoPtCl4.

a b c (Å): 5.626 5.626 5.626
angles (deg): 60.00 60.00 60.00
Fractional positions:
Mo1 0.000 0.000 0.000
Pt1 0.750 0.750 0.750
Cl1 0.375 0.375 0.375
Cl2 0.375 0.375 0.874
Cl3 0.375 0.874 0.375
Cl4 0.874 0.375 0.375

Summary:
- volume (A^3/atom) = 21.0
- E_tot (eV per atom) = -2.68
- SG = No. 216
- energy relative to the elements, uncorrected (eV/atom) = 1.3681



8.
## MoPtCl (PBE-GGA)

Data for a relaxed structure of MoPtCl.

a b c (Å): 2.888 5.118 14.651
angles (deg): 90.00 90.00 90.00
Fractional positions:
Mo1 0.000 0.000 0.000
Mo2 0.000 0.500 0.500
Mo3 0.500 0.000 0.500
Mo4 0.500 0.500 0.000
Pt1 0.000 0.000 0.652
Pt2 0.000 0.500 0.152
Pt3 0.500 0.000 0.152
Pt4 0.500 0.500 0.652
Cl1 0.000 0.000 0.365
Cl2 0.000 0.500 0.865
Cl3 0.500 0.000 0.865
Cl4 0.500 0.500 0.365

Summary:
- volume (A^3/atom) = 18.0
- polymorph energy (0 for the lowest one) (eV/f.u.) = 0.79
- E_tot (eV per atom) = -6.01
- SG = No. 42
- energy relative to the elements, uncorrected (eV/atom) = 0.2269



9.
## MoPtCl (PBE-GGA)

Data for a relaxed structure of MoPtCl.

a b c (Å): 2.932 2.932 13.263
angles (deg): 90.00 90.00 90.00
Fractional positions:
Mo1 0.000 0.000 0.000
Mo2 0.500 0.500 0.500
Pt1 0.000 0.000 0.626
Pt2 0.500 0.500 0.126
Cl1 0.000 0.000 0.377
Cl2 0.500 0.500 0.877

Summary:
- volume (A^3/atom) = 19.0
- polymorph energy (0 for the lowest one) (eV/f.u.) = 0.09
- E_tot (eV per atom) = -6.25
- SG = No. 107
- energy relative to the elements, uncorrected (eV/atom) = -0.0057



10.
## MoPtSCl2 (PBE-GGA)

Data for a relaxed structure of MoPtSCl2.

a b c (Å): 4.761 4.761 4.672
angles (deg): 90.00 90.00 90.00
Fractional positions:
Mo1 0.000 0.000 0.000
Pt1 0.500 0.500 0.500
S1 0.000 0.000 0.500
Cl1 0.000 0.500 0.000
Cl2 0.500 0.000 0.000

Summary:
- volume (A^3/atom) = 21.2
- polymorph energy (0 for the lowest one) (eV/f.u.) = 0.00
- E_tot (eV per atom) = -4.42
- SG = No. 123
- energy relative to the elements, uncorrected (eV/atom) = 0.5224



11.
## MoPtSCl2 (PBE-GGA)

Data for a relaxed structure of MoPtSCl2.

a b c (Å): 4.819 4.819 4.830
angles (deg): 90.00 90.00 90.00
Fractional positions:
Mo1 0.000 0.000 0.000
Pt1 0.500 0.500 0.500
S1 0.500 0.500 0.000
Cl1 0.000 0.500 0.500
Cl2 0.500 0.000 0.500

Summary:
- volume (A^3/atom) = 22.4
- polymorph energy (0 for the lowest one) (eV/f.u.) = 0.78
- E_tot (eV per atom) = -4.26
- SG = No. 123
- energy relative to the elements, uncorrected (eV/atom) = 0.6776



12.
## MoPtS2Cl (PBE-GGA)

Data for a relaxed structure of MoPtS2Cl.

a b c (Å): 4.683 4.683 4.652
angles (deg): 90.00 90.00 90.00
Fractional positions:
Mo1 0.000 0.000 0.000
Pt1 0.500 0.500 0.500
S1 0.000 0.500 0.000
S2 0.500 0.000 0.000
Cl1 0.000 0.000 0.500

Summary:
- volume (A^3/atom) = 20.4
- polymorph energy (0 for the lowest one) (eV/f.u.) = 0.00
- E_tot (eV per atom) = -4.84
- SG = No. 123
- energy relative to the elements, uncorrected (eV/atom) = 0.5498



13.
## MoPtS2Cl (PBE-GGA)

Data for a relaxed structure of MoPtS2Cl.

a b c (Å): 4.754 4.754 4.731
angles (deg): 90.00 90.00 90.00
Fractional positions:
Mo1 0.000 0.000 0.000
Pt1 0.500 0.500 0.500
S1 0.000 0.500 0.500
S2 0.500 0.000 0.500
Cl1 0.500 0.500 0.000

Summary:
- volume (A^3/atom) = 21.4
- polymorph energy (0 for the lowest one) (eV/f.u.) = 1.18
- E_tot (eV per atom) = -4.61
- SG = No. 123
- energy relative to the elements, uncorrected (eV/atom) = 0.7859



14.
## ScMo2PtCl (PBE-GGA)

Data for a relaxed structure of ScMo2PtCl.

a b c (Å): 4.379 4.379 4.639
angles (deg): 90.00 90.00 90.00
Fractional positions:
Sc1 0.000 0.000 0.000
Mo1 0.000 0.500 0.500
Mo2 0.500 0.000 0.500
Pt1 0.500 0.500 0.000
Cl1 0.000 0.000 0.500

Summary:
- volume (A^3/atom) = 17.8
- E_tot (eV per atom) = -6.70
- SG = No. 123
- energy relative to the elements, uncorrected (eV/atom) = 0.4800



15.
## RbMoCl3 (PBE-GGA)

Data for a relaxed structure of RbMoCl3.

a b c (Å): 4.730 7.763 8.699
angles (deg): 111.75 90.03 107.66
Fractional positions:
Rb1 0.090 0.178 0.372
Rb2 0.910 0.822 0.628
Mo1 0.288 0.577 0.007
Mo2 0.712 0.423 0.993
Cl1 0.121 0.240 0.986
Cl2 0.284 0.568 0.723
Cl3 0.396 0.792 0.304
Cl4 0.604 0.208 0.696
Cl5 0.716 0.432 0.277
Cl6 0.879 0.760 0.014

Summary:
- volume (A^3/atom) = 28.0
- polymorph energy (0 for the lowest one) (eV/f.u.) = 0.00
- E_tot (eV per atom) = -4.51
- SG = No. 2
- energy relative to the elements, uncorrected (eV/atom) = -1.0473